# Cs2RbVF5

Cs2RbVF5 after structural relaxation (PBE+U, the Alexandria database).

Computed properties:
Its calculated total energy is -43.72 eV/f.u. The calculated density is 4265 kg/m3.

a b c (Å): 4.2694 6.5609 7.9426
angles (deg): 114.39 105.59 90.00
Site moments in Bohr magnetons follow the coordinates.
Fractional positions:
Cs 0.2144 0.2144 0.4288  0.00
Cs 0.7856 0.7856 0.5712  0.00
Rb 0.0000 0.5000 0.0000  0.00
V 0.5000 0.0000 0.0000  2.75
F 0.6098 0.8778 0.2196  0.00
F 0.3902 0.1222 0.7804  0.00
F 0.3902 0.6582 0.7804  0.00
F 0.6098 0.3418 0.2196  0.00
F 0.0000 0.0000 0.0000  0.01